[1]
Computed, not measured: a geometry-optimized Y2SbN structure at the GGA-PBEsol level of DFT.

## Properties
Total magnetic moment ... 0.00 μB per formula unit
SG ... I-42d
Calculated volume ... 182.2 Å³/cell
Energy above the lowest structure with this stoichiometry ... 0.000 eV/atom
Uncorrected formation energy ... -5.19 eV/f.u.

a = 6.2058 Å, b = 6.2058 Å, c = 6.2058 Å
α = 102.93°, β = 112.84°, γ = 112.84°
Element x y z (fractional)
Y 0.9047 0.5297 0.1250
Y 0.4047 0.8750 0.7797
Y 0.0953 0.2203 0.6250
Y 0.5953 0.3750 0.4703
N 0.5000 0.2500 0.7500
N 0.0000 0.5000 0.5000
Sb 0.5000 0.7500 0.2500
Sb 0.0000 0.0000 0.0000


[2]
Computed, not measured: a geometry-optimized Y2SbN structure at the GGA-PBEsol level of DFT.

## Properties
Total magnetic moment ... 0.00 μB per formula unit
N(E_F) ... 2.10 states/eV/cell
SG ... Fm-3m
Calculated volume ... 83.5 Å³/cell
Energy above the lowest structure with this stoichiometry ... 1.030 eV/atom
Uncorrected formation energy ... -1.07 eV/f.u.

a = 4.9067 Å, b = 4.9067 Å, c = 4.9067 Å
α = 60.00°, β = 60.00°, γ = 60.00°
Element x y z (fractional)
Y 0.2500 0.2500 0.2500
Y 0.7500 0.7500 0.7500
Sb 0.5000 0.5000 0.5000
N 0.0000 0.0000 0.0000


[3]
Computed, not measured: a geometry-optimized Zn3SbN structure at the GGA-PBEsol level of DFT.

## Properties
Total magnetic moment ... 0.00 μB per formula unit
N(E_F) ... 1.12 states/eV/cell
SG ... Pm-3m
Calculated volume ... 75.9 Å³/cell
Uncorrected formation energy ... 1.24 eV/f.u.

a = 4.2343 Å, b = 4.2343 Å, c = 4.2343 Å
α = 90.00°, β = 90.00°, γ = 90.00°
Element x y z (fractional)
Zn 0.0000 0.0000 0.5000
Zn 0.0000 0.5000 0.0000
Zn 0.5000 0.0000 0.0000
N 0.0000 0.0000 0.0000
Sb 0.5000 0.5000 0.5000


[4]
Computed, not measured: a geometry-optimized Zn3SbN3 structure at the GGA-PBEsol level of DFT.

## Properties
Total magnetic moment ... 0.00 μB per formula unit
SG ... Cm
Calculated volume ... 100.3 Å³/cell
Uncorrected formation energy ... 0.14 eV/f.u.

a = 4.7067 Å, b = 4.7067 Å, c = 5.5481 Å
α = 65.48°, β = 65.48°, γ = 88.02°
Element x y z (fractional)
Zn 0.3568 0.3568 0.1192
Zn 0.6865 0.2431 0.5200
Zn 0.2431 0.6865 0.5200
Sb 0.9390 0.9390 0.9996
N 0.0580 0.5881 0.3009
N 0.3025 0.3025 0.8114
N 0.5881 0.0580 0.3009